#w
Compound: NaZrCrH
Source: the Alexandria database
Functional: PBE
Structure: optimized geometry

The total moment is 2.9 μB/f.u. The calculation puts the density of states at the Fermi level at 4.0 states/eV per cell.

POSCAR file:
```
NaZrCrH
1.0
4.830 -2.232 0.000
4.830 2.232 0.000
-0.110 0.000 3.031
Na Zr Cr H
1 1 1 1
Direct
0.000 0.000 0.000
0.686 0.686 0.602
0.322 0.322 0.167
0.524 0.524 0.106
```


#x
Compound: NaZrCrH
Source: the Alexandria database
Functional: PBE
Structure: optimized geometry

The total moment is 0.6 μB/f.u. The calculation puts the density of states at the Fermi level at 2.8 states/eV per cell.

POSCAR file:
```
NaZrCrH
1.0
2.485 -1.674 0.000
2.485 1.674 0.000
-2.135 0.000 7.725
Na Zr Cr H
1 1 1 1
Direct
0.000 0.000 0.000
0.323 0.323 0.599
0.711 0.711 0.346
0.335 0.335 0.302
```


#y
Compound: NaZrCrH
Source: the Alexandria database
Functional: PBE
Structure: optimized geometry

The total moment is 2.1 μB/f.u. The calculation puts the density of states at the Fermi level at 3.1 states/eV per cell.

POSCAR file:
```
NaZrCrH
1.0
3.060 0.000 0.000
0.000 2.129 5.391
0.000 -2.129 5.391
Na Zr Cr H
1 1 1 1
Direct
0.000 0.000 0.000
0.500 0.290 0.290
0.000 0.695 0.695
0.500 0.785 0.785
```


#z
Compound: NaZrCrH
Source: the Alexandria database
Functional: PBE
Structure: optimized geometry

The total moment is 1.5 μB/f.u. The calculation puts the density of states at the Fermi level at 2.5 states/eV per cell.

POSCAR file:
```
NaZrCrH
1.0
4.164 0.000 0.000
0.000 1.559 5.910
0.000 -1.559 5.910
Na Zr Cr H
1 1 1 1
Direct
0.000 0.000 0.000
0.500 0.755 0.755
0.000 0.260 0.260
0.000 0.675 0.675
```


Quick ranking, most stable first: #x, #y, #z, #w.


#w
Compound: NaZrCrH
Source: the Alexandria database
Functional: PBE
Structure: optimized geometry

The total moment is 3.1 μB/f.u. The calculation puts the density of states at the Fermi level at 2.8 states/eV per cell.

POSCAR file:
```
NaZrCrH
1.0
2.726 -1.574 0.000
2.726 1.574 0.000
-0.028 0.000 8.009
Na Zr Cr H
1 1 1 1
Direct
0.000 0.000 0.000
0.669 0.669 0.384
0.336 0.336 0.658
0.335 0.335 0.238
```


#x
Compound: NaZrCrH
Source: the Alexandria database
Functional: PBE
Structure: optimized geometry

The total moment is 2.2 μB/f.u. The calculation puts the density of states at the Fermi level at 2.1 states/eV per cell.

POSCAR file:
```
NaZrCrH
1.0
2.175 -2.168 0.000
2.175 2.168 0.000
-2.159 0.000 7.504
Na Zr Cr H
1 1 1 1
Direct
0.000 0.000 0.000
0.279 0.279 0.563
0.664 0.664 0.330
0.547 0.547 0.094
```


Quick ranking, most stable first: #w, #x.


#w
Compound: NaZrCrH
Source: the Alexandria database
Functional: PBE
Structure: optimized geometry

The total moment is 3.5 μB/f.u. The calculation puts the density of states at the Fermi level at 2.2 states/eV per cell.

POSCAR file:
```
NaZrCrH
1.0
-1.572 1.572 7.146
1.572 -1.572 7.146
1.572 1.572 -7.146
Na Zr Cr H
1 1 1 1
Direct
0.000 0.000 0.000
0.708 0.708 0.000
0.333 0.333 0.000
0.199 0.199 0.000
```


#x
Compound: NaZrCrH
Source: the Alexandria database
Functional: PBE
Structure: optimized geometry

The total moment is 1.3 μB/f.u. The calculation puts the density of states at the Fermi level at 3.2 states/eV per cell.

POSCAR file:
```
NaZrCrH
1.0
2.695 0.000 0.000
-0.001 4.752 0.000
-0.020 -2.368 4.689
Na Zr Cr H
1 1 1 1
Direct
0.000 0.000 0.000
0.462 0.318 0.635
0.947 0.676 0.353
0.446 0.552 0.097
```


#y
Compound: NaZrCrH
Source: the Alexandria database
Functional: PBE
Structure: optimized geometry

The total moment is 0.6 μB/f.u. The calculation puts the density of states at the Fermi level at 2.6 states/eV per cell.

POSCAR file:
```
NaZrCrH
1.0
2.778 0.000 0.000
-0.985 2.913 0.000
-0.137 -1.431 7.808
Na Zr Cr H
1 1 1 1
Direct
0.000 0.000 0.000
0.607 0.695 0.397
0.168 0.322 0.653
0.675 0.337 0.799
```


Quick ranking, most stable first: #w, #y, #x.


#w
Compound: Nb3CrH
Source: the Alexandria database
Functional: PBE
Structure: optimized geometry

The total moment is 0.0 μB/f.u. The calculation puts the density of states at the Fermi level at 6.8 states/eV per cell.

POSCAR file:
```
Nb3CrH
1.0
4.146 0.000 0.000
0.000 4.146 0.000
0.000 0.000 4.146
Nb Cr H
3 1 1
Direct
0.000 0.000 0.500
0.000 0.500 0.000
0.500 0.000 0.000
0.500 0.500 0.500
0.000 0.000 0.000
```


#x
Compound: Nb3CrH
Source: the Alexandria database
Functional: PBE
Structure: optimized geometry

The total moment is 0.0 μB/f.u. The calculation puts the density of states at the Fermi level at 5.3 states/eV per cell.

POSCAR file:
```
Nb3CrH
1.0
4.603 0.000 0.000
0.000 4.603 0.000
0.000 0.000 4.603
Nb Cr H
3 1 1
Direct
0.000 0.000 0.500
0.000 0.500 0.000
0.500 0.000 0.000
0.000 0.000 0.000
0.500 0.500 0.500
```


Quick ranking, most stable first: #w, #x.


#w
Compound: NbCr3H
Source: the Alexandria database
Functional: PBE
Structure: optimized geometry

The total moment is 9.9 μB/f.u. The calculation puts the density of states at the Fermi level at 1.4 states/eV per cell.

POSCAR file:
```
NbCr3H
1.0
4.821 0.000 0.000
0.000 4.821 0.000
0.000 0.000 4.821
Nb Cr H
1 3 1
Direct
0.000 0.000 0.000
0.000 0.000 0.500
0.000 0.500 0.000
0.500 0.000 0.000
0.500 0.500 0.500
```


#x
Compound: NbCr3H
Source: the Alexandria database
Functional: PBE
Structure: optimized geometry

The total moment is 0.0 μB/f.u. The calculation puts the density of states at the Fermi level at 5.9 states/eV per cell.

POSCAR file:
```
NbCr3H
1.0
3.833 0.000 0.000
0.000 3.833 0.000
0.000 0.000 3.833
Nb Cr H
1 3 1
Direct
0.000 0.000 0.000
0.000 0.500 0.500
0.500 0.000 0.500
0.500 0.500 0.000
0.500 0.500 0.500
```


Quick ranking, most stable first: #x, #w.


#w
Compound: NbCrH2
Source: the Alexandria database
Functional: PBE
Structure: optimized geometry

The total moment is 1.5 μB/f.u. The calculation puts the density of states at the Fermi level at 1.7 states/eV per cell.

POSCAR file:
```
NbCrH2
1.0
0.000 2.622 2.622
2.622 0.000 2.622
2.622 2.622 0.000
Nb Cr H
1 1 2
Direct
0.000 0.000 0.000
0.500 0.500 0.500
0.250 0.250 0.250
0.750 0.750 0.750
```


#x
Compound: NbCrH2
Source: the Alexandria database
Functional: PBE
Structure: optimized geometry

The total moment is 0.0 μB/f.u. The calculation puts the density of states at the Fermi level at 6.4 states/eV per cell.

POSCAR file:
```
NbCrH2
1.0
-2.012 2.012 4.512
2.012 -2.012 4.512
2.012 2.012 -4.512
Nb Cr H
2 2 4
Direct
0.000 0.000 0.000
0.750 0.250 0.500
0.250 0.750 0.500
0.500 0.500 0.000
0.171 0.625 0.046
0.375 0.421 0.546
0.579 0.125 0.954
0.875 0.829 0.454
```


Quick ranking, most stable first: #x, #w.


#w
Compound: NbCr2H
Source: the Alexandria database
Functional: PBE
Structure: optimized geometry

The total moment is 1.1 μB/f.u. The calculation puts the density of states at the Fermi level at 8.2 states/eV per cell.

POSCAR file:
```
NbCr2H
1.0
0.000 3.602 3.602
3.602 0.000 3.602
3.602 3.602 0.000
Nb Cr H
2 4 2
Direct
0.125 0.125 0.125
0.875 0.875 0.875
0.000 0.500 0.500
0.500 0.000 0.500
0.500 0.500 0.000
0.500 0.500 0.500
0.375 0.375 0.375
0.625 0.625 0.625
```


#x
Compound: NbCr2H
Source: the Alexandria database
Functional: PBE
Structure: optimized geometry

The total moment is 4.3 μB/f.u. The calculation puts the density of states at the Fermi level at 4.1 states/eV per cell.

POSCAR file:
```
NbCr2H
1.0
0.000 2.968 2.968
2.968 0.000 2.968
2.968 2.968 0.000
Nb Cr H
1 2 1
Direct
0.000 0.000 0.000
0.250 0.250 0.250
0.750 0.750 0.750
0.500 0.500 0.500
```


Quick ranking, most stable first: #w, #x.


#w
Compound: Nb2CrNiH
Source: the Alexandria database
Functional: PBE
Structure: optimized geometry

The total moment is 0.0 μB/f.u. The calculation puts the density of states at the Fermi level at 3.7 states/eV per cell.

POSCAR file:
```
Nb2CrNiH
1.0
4.202 0.000 0.000
0.000 4.202 0.000
0.000 0.000 3.497
Nb Cr Ni H
2 1 1 1
Direct
0.000 0.500 0.000
0.500 0.000 0.000
0.000 0.000 0.500
0.500 0.500 0.500
0.000 0.000 0.000
```


#x
Compound: Nb2CrNiH
Source: the Alexandria database
Functional: PBE
Structure: optimized geometry

The total moment is 0.0 μB/f.u. The calculation puts the density of states at the Fermi level at 4.6 states/eV per cell.

POSCAR file:
```
Nb2CrNiH
1.0
4.291 0.000 0.000
0.000 4.291 0.000
0.000 0.000 3.340
Nb Cr Ni H
2 1 1 1
Direct
0.000 0.500 0.000
0.500 0.000 0.000
0.000 0.000 0.500
0.500 0.500 0.500
0.500 0.500 0.000
```


Quick ranking, most stable first: #x, #w.


#w
Compound: NbCr2HRu
Source: the Alexandria database
Functional: PBE
Structure: optimized geometry

The total moment is 0.6 μB/f.u. The calculation puts the density of states at the Fermi level at 6.4 states/eV per cell.

POSCAR file:
```
NbCr2HRu
1.0
3.847 0.000 0.000
0.000 3.847 0.000
0.000 0.000 3.930
Nb Cr H Ru
1 2 1 1
Direct
0.000 0.000 0.000
0.000 0.500 0.500
0.500 0.000 0.500
0.500 0.500 0.500
0.500 0.500 0.000
```


#x
Compound: NbCr2HRu
Source: the Alexandria database
Functional: PBE
Structure: optimized geometry

The total moment is 2.4 μB/f.u. The calculation puts the density of states at the Fermi level at 5.4 states/eV per cell.

POSCAR file:
```
NbCr2HRu
1.0
3.741 0.000 0.000
0.000 3.741 0.000
0.000 0.000 4.214
Nb Cr H Ru
1 2 1 1
Direct
0.000 0.000 0.000
0.000 0.500 0.500
0.500 0.000 0.500
0.000 0.000 0.500
0.500 0.500 0.000
```


Quick ranking, most stable first: #x, #w.


#w
Compound: Nb2CrTcH
Source: the Alexandria database
Functional: PBE
Structure: optimized geometry

The total moment is 0.5 μB/f.u. The calculation puts the density of states at the Fermi level at 3.1 states/eV per cell.

POSCAR file:
```
Nb2CrTcH
1.0
4.421 0.000 0.000
0.000 4.421 0.000
0.000 0.000 3.400
Nb Cr Tc H
2 1 1 1
Direct
0.000 0.500 0.000
0.500 0.000 0.000
0.000 0.000 0.500
0.500 0.500 0.500
0.500 0.500 0.000
```


#x
Compound: Nb2CrTcH
Source: the Alexandria database
Functional: PBE
Structure: optimized geometry

The total moment is 0.0 μB/f.u. The calculation puts the density of states at the Fermi level at 2.4 states/eV per cell.

POSCAR file:
```
Nb2CrTcH
1.0
4.461 0.000 0.000
0.000 4.461 0.000
0.000 0.000 3.267
Nb Cr Tc H
2 1 1 1
Direct
0.000 0.500 0.000
0.500 0.000 0.000
0.000 0.000 0.500
0.500 0.500 0.500
0.000 0.000 0.000
```


Quick ranking, most stable first: #x, #w.


#w
Compound: Nb2VCrH
Source: the Alexandria database
Functional: PBE
Structure: optimized geometry

The total moment is 0.0 μB/f.u. The calculation puts the density of states at the Fermi level at 4.2 states/eV per cell.

POSCAR file:
```
Nb2VCrH
1.0
4.417 0.000 0.000
0.000 4.417 0.000
0.000 0.000 3.294
Nb V Cr H
2 1 1 1
Direct
0.000 0.500 0.000
0.500 0.000 0.000
0.000 0.000 0.500
0.500 0.500 0.500
0.500 0.500 0.000
```


#x
Compound: Nb2VCrH
Source: the Alexandria database
Functional: PBE
Structure: optimized geometry

The total moment is 0.0 μB/f.u. The calculation puts the density of states at the Fermi level at 3.6 states/eV per cell.

POSCAR file:
```
Nb2VCrH
1.0
4.389 0.000 0.000
0.000 4.389 0.000
0.000 0.000 3.344
Nb V Cr H
2 1 1 1
Direct
0.000 0.500 0.000
0.500 0.000 0.000
0.000 0.000 0.500
0.500 0.500 0.500
0.000 0.000 0.000
```


Quick ranking, most stable first: #w, #x.


#w
Compound: Cr3NiH3
Source: the Alexandria database
Functional: PBE
Structure: optimized geometry

The total moment is 0.0 μB/f.u. The calculation puts the density of states at the Fermi level at 15.2 states/eV per cell.

POSCAR file:
```
Cr3NiH3
1.0
2.218 1.280 6.526
-2.218 1.280 6.526
0.000 -2.561 6.526
Cr Ni H
6 2 6
Direct
0.058 0.721 0.383
0.279 0.617 0.942
0.383 0.058 0.721
0.617 0.942 0.279
0.721 0.383 0.058
0.942 0.279 0.617
0.167 0.167 0.167
0.833 0.833 0.833
0.110 0.448 0.781
0.219 0.890 0.552
0.448 0.781 0.110
0.552 0.219 0.890
0.781 0.110 0.448
0.890 0.552 0.219
```


#x
Compound: Cr3NiH3
Source: the Alexandria database
Functional: PBE
Structure: optimized geometry

The total moment is 0.3 μB/f.u. The calculation puts the density of states at the Fermi level at 5.2 states/eV per cell.

POSCAR file:
```
Cr3NiH3
1.0
3.720 0.000 0.000
0.000 3.720 0.000
0.000 0.000 3.720
Cr Ni H
3 1 3
Direct
0.000 0.000 0.500
0.000 0.500 0.000
0.500 0.000 0.000
0.500 0.500 0.500
0.000 0.500 0.500
0.500 0.000 0.500
0.500 0.500 0.000
```


Quick ranking, most stable first: #x, #w.